# 1
Density functional theory data (PBE-GGA) for an optimized crystal structure of ZrOF2.

```
data_ZrOF2
_chemical_formula_sum 'Zr4 O4 F8'
_symmetry_space_group_name_H-M 'P 1 21 1'
_symmetry_Int_Tables_number 4
_cell_length_a 5.1005
_cell_length_b 6.7880
_cell_length_c 5.2667
_cell_angle_alpha 90.00
_cell_angle_beta 99.39
_cell_angle_gamma 90.00
loop_
_symmetry_equiv_pos_as_xyz
'x,y,z'
'-x,y+1/2,-z'
loop_
_atom_site_label
_atom_site_type_symbol
_atom_site_fract_x
_atom_site_fract_y
_atom_site_fract_z
Zr1 Zr 0.0290 0.0000 0.1180
Zr2 Zr 0.4298 0.2180 0.6296
O1 O 0.1463 0.2087 0.8633
O2 O 0.2995 0.9361 0.4511
F1 F 0.0991 0.2612 0.3366
F2 F 0.2765 0.5289 0.6579
F3 F 0.3234 0.5161 0.1685
F4 F 0.3264 0.8353 0.9987
```

Summary:
DFT total energy in eV/atom: -7.718
Magnetization in μB/f.u.: 0.0
Theoretical density in g/cm³: 5.36

---

# 2
Density functional theory data (PBE-GGA) for an optimized crystal structure of NiI.

```
data_NiI
_chemical_formula_sum 'Ni1 I1'
_symmetry_space_group_name_H-M 'P -6 m 2'
_symmetry_Int_Tables_number 187
_symmetry_space_group_name_Hall 'P -6 2'
_cell_length_a 3.7249
_cell_length_b 3.7249
_cell_length_c 3.4905
_cell_angle_alpha 90.00
_cell_angle_beta 90.00
_cell_angle_gamma 120.00
loop_
_atom_site_label
_atom_site_type_symbol
_atom_site_fract_x
_atom_site_fract_y
_atom_site_fract_z
Ni1 Ni 0.0000 0.0000 0.0000
I1 I 0.3333 0.6667 0.5000
```

Summary:
DFT total energy in eV/atom: -3.041
Magnetization in μB/f.u.: 0.3
Theoretical density in g/cm³: 7.35

---

# 3
Density functional theory data (PBE-GGA) for an optimized crystal structure of DySnMo.

```
data_DySnMo
_chemical_formula_sum 'Dy4 Sn4 Mo4'
_symmetry_space_group_name_H-M 'F -4 3 m'
_symmetry_Int_Tables_number 216
_symmetry_space_group_name_Hall 'F -4 2 3'
_cell_length_a 6.9673
_cell_length_b 6.9673
_cell_length_c 6.9673
_cell_angle_alpha 90.00
_cell_angle_beta 90.00
_cell_angle_gamma 90.00
loop_
_atom_site_label
_atom_site_type_symbol
_atom_site_fract_x
_atom_site_fract_y
_atom_site_fract_z
Dy1 Dy 0.0000 0.0000 0.0000
Sn1 Sn 0.2500 0.2500 0.2500
Mo1 Mo 0.2500 0.2500 0.7500
```

Summary:
Magnetization in μB/f.u.: 3.3
Theoretical density in g/cm³: 7.41
ΔE to the lowest computed polymorph in meV per atom: 546

---

# 4
Density functional theory data (PBE-GGA) for an optimized crystal structure of AcErCu.

```
data_AcErCu
_chemical_formula_sum 'Ac4 Er4 Cu4'
_symmetry_space_group_name_H-M 'F -4 3 m'
_symmetry_Int_Tables_number 216
_symmetry_space_group_name_Hall 'F -4 2 3'
_cell_length_a 7.1841
_cell_length_b 7.1841
_cell_length_c 7.1841
_cell_angle_alpha 90.00
_cell_angle_beta 90.00
_cell_angle_gamma 90.00
loop_
_atom_site_label
_atom_site_type_symbol
_atom_site_fract_x
_atom_site_fract_y
_atom_site_fract_z
Ac1 Ac 0.0000 0.0000 0.0000
Er1 Er 0.2500 0.2500 0.2500
Cu1 Cu 0.2500 0.2500 0.7500
```

Summary:
DFT total energy in eV/atom: -3.294
Magnetization in μB/f.u.: 0.0
Theoretical density in g/cm³: 8.20

---

# 5
Density functional theory data (PBE-GGA) for an optimized crystal structure of HfPPdO.

```
data_HfPPdO
_chemical_formula_sum 'Hf2 P2 Pd2 O2'
_symmetry_space_group_name_H-M 'P m c 21'
_symmetry_Int_Tables_number 26
_cell_length_a 3.9958
_cell_length_b 6.0665
_cell_length_c 6.1787
_cell_angle_alpha 90.00
_cell_angle_beta 90.00
_cell_angle_gamma 90.00
loop_
_symmetry_equiv_pos_as_xyz
'x,y,z'
'-x,-y,z+1/2'
'-x,y,z'
'x,-y,z+1/2'
loop_
_atom_site_label
_atom_site_type_symbol
_atom_site_fract_x
_atom_site_fract_y
_atom_site_fract_z
Hf1 Hf 0.0000 0.1462 0.0000
P1 P 0.5000 0.3854 0.9166
Pd1 Pd 0.5000 0.2612 0.5664
O1 O 0.0000 0.1184 0.3169
```

Summary:
Magnetization in μB/f.u.: 0.0
Theoretical density in g/cm³: 7.36
ΔE to the lowest computed polymorph in meV per atom: 333

---

# 6
Density functional theory data (PBE-GGA) for an optimized crystal structure of KCu3SnTe4.

```
data_KCu3SnTe4
_chemical_formula_sum 'K1 Cu3 Sn1 Te4'
_symmetry_space_group_name_H-M 'P -4 3 m'
_symmetry_Int_Tables_number 215
_symmetry_space_group_name_Hall 'P -4 2 3'
_cell_length_a 6.6674
_cell_length_b 6.6674
_cell_length_c 6.6674
_cell_angle_alpha 90.00
_cell_angle_beta 90.00
_cell_angle_gamma 90.00
loop_
_atom_site_label
_atom_site_type_symbol
_atom_site_fract_x
_atom_site_fract_y
_atom_site_fract_z
K1 K 0.0000 0.0000 0.0000
Cu1 Cu 0.0000 0.5000 0.5000
Sn1 Sn 0.5000 0.5000 0.5000
Te1 Te 0.2675 0.2675 0.2675
```

Summary:
Theoretical density in g/cm³: 4.81
ΔE to the lowest computed polymorph in meV per atom: 217

---

Which of these has the lowest theoretical density? KCu3SnTe4

---

Look up the theoretical density of the second one. 7.35 g/cm³